# Ca3Pm

A relaxed Ca3Pm crystal (PBE, Alexandria via LeMat-Bulk).

Properties
calculated formation energy = 194 meV/atom
raw total energy = -10.0 eV per cell
excess energy over the best structure of this formula in the dataset = 0.176 eV/atom

a b c (Å): 3.6983 3.5410 12.1923
angles (deg): 90.00 90.00 90.00
Atoms (fractional coordinates):
Ca 0.5000 0.5000 0.1946
Ca 0.5000 0.0000 0.7079
Pm 0.0000 0.0000 0.9657
Ca 0.0000 0.5000 0.4652